The following is a PBE calculation of crystalline V7Re3Mo at its relaxed geometry, from Alexandria via LeMat-Bulk.

Cell lengths 2.527, 9.260, 14.301 Å; angles 90.00, 90.00, 97.84 degrees
Element x y z (fractional)
V  0.504  0.008  0.085
Re  0.124  0.248  0.484
V  0.496  0.992  0.915
Re  0.876  0.752  0.984
V  0.379  0.758  0.155
Mo  0.002  0.004  0.250
Re  0.876  0.752  0.516
V  0.249  0.498  0.084
V  0.621  0.242  0.845
Re  0.124  0.248  0.016
V  0.249  0.498  0.416
V  0.751  0.502  0.584
V  0.751  0.502  0.916
V  0.504  0.008  0.415
Mo  0.998  0.996  0.750
V  0.365  0.729  0.750
V  0.635  0.271  0.250
V  0.496  0.992  0.585
Re  0.231  0.463  0.750
V  0.379  0.758  0.345
V  0.621  0.242  0.655
Re  0.769  0.537  0.250

## Properties
**DOS at the Fermi energy**: 0.90 states/eV/atom
**Energy relative to the elements**: 7.29 kcal/mol of atoms
**Crystal system**: orthorhombic
**VASP energy**: -0.363 Ha/atom
**Total moment**: 0.00 μB per atom
**Mass density**: 10.13 g cm⁻³